## As2AuSeF (PBE-GGA)

Data for crystalline As2AuSeF at its relaxed geometry.

## Properties
Theoretical density, Mg/m³: 7.4
Spin magnetization, μB per formula unit: 0.00
Formation energy from raw total energies, eV per atom: 0.446
ΔE to the lowest computed polymorph, meV/atom: 0

Cell lengths 4.2916, 4.2916, 5.4336 Å; angles 90.00, 90.00, 90.00 degrees
Last column: nearest neighbours and their distance in Å.
Element x y z (fractional)
As 0.0000 0.5000 0.0000  2 F 2.15
As 0.5000 0.0000 0.0000  2 F 2.15
Au 0.0000 0.0000 0.5000  4 Se 3.03
Se 0.5000 0.5000 0.5000  2 F 2.72, 4 Au 3.03
F 0.5000 0.5000 0.0000  4 As 2.15

## As2AuSeF (PBE-GGA)

Data for crystalline As2AuSeF at its relaxed geometry.

## Properties
Theoretical density, Mg/m³: 5.7
Spin magnetization, μB per formula unit: 0.50
Formation energy from raw total energies, eV per atom: 0.651
ΔE to the lowest computed polymorph, meV/atom: 204

Cell lengths 5.0539, 5.0539, 5.0875 Å; angles 90.00, 90.00, 90.00 degrees
Last column: nearest neighbours and their distance in Å.
Element x y z (fractional)
As 0.0000 0.5000 0.0000  2 Au 2.53
As 0.5000 0.0000 0.0000  2 Au 2.53
Au 0.0000 0.0000 0.0000  4 As 2.53, 2 Se 2.54
Se 0.0000 0.0000 0.5000  2 Au 2.54
F 0.5000 0.5000 0.5000  4 Se 3.57, 8 As 3.59

## TaAs2AuF (PBE-GGA)

Data for crystalline TaAs2AuF at its relaxed geometry.

## Properties
Theoretical density, Mg/m³: 7.0
Spin magnetization, μB per formula unit: 1.61
Formation energy from raw total energies, eV per atom: 1.139

Cell lengths 4.9347, 4.9347, 5.3387 Å; angles 90.00, 90.00, 90.00 degrees
Last column: nearest neighbours and their distance in Å.
Element x y z (fractional)
Ta 0.0000 0.0000 0.0000  2 Au 2.67
As 0.0000 0.5000 0.5000  2 Au 2.47
As 0.5000 0.0000 0.5000  2 Au 2.47
Au 0.0000 0.0000 0.5000  4 As 2.47, 2 Ta 2.67
F 0.5000 0.5000 0.0000  4 Ta 3.49, 8 As 3.64

## YAsAu2F (PBE-GGA)

Data for crystalline YAsAu2F at its relaxed geometry.

## Properties
Theoretical density, Mg/m³: 5.6
Spin magnetization, μB per formula unit: 1.11
Formation energy from raw total energies, eV per atom: 0.402

Cell lengths 5.5108, 5.5108, 5.6700 Å; angles 90.00, 90.00, 90.00 degrees
Last column: nearest neighbours and their distance in Å.
Element x y z (fractional)
Y 0.0000 0.0000 0.0000  4 Au 2.76, 2 As 2.84
As 0.0000 0.0000 0.5000  2 Y 2.84
Au 0.0000 0.5000 0.0000  2 Y 2.76
Au 0.5000 0.0000 0.0000  2 Y 2.76
F 0.5000 0.5000 0.5000  4 As 3.90, 8 Au 3.95

- formation energy from raw total energies of number 4 (YAsAu2F)?
  0.402 eV per atom